Below is crystalline LaTb6Dy2Er at its relaxed geometry, with properties calculated at the PBE-GGA level.

Summary:
* crystal system: monoclinic
* energy: -90.56 eV for the cell shown
* energy relative to the elements: 119 meV per atom

```
20
Lattice="4.582 -7.544 0.000 4.582 7.544 0.000 -1.024 0.000 9.480" Properties=species:S:1:pos:R:3 pbc="T T T"
La 3.814 7.112 7.110
La 4.326 -7.112 2.370
Tb 1.935 4.122 6.469
Tb 3.951 4.738 0.541
Tb 4.701 4.738 4.199
Tb 2.777 1.655 8.371
Tb 5.693 4.122 7.752
Tb 4.851 1.655 5.849
Tb 3.289 -1.655 3.631
Tb 2.446 -4.122 1.729
Tb 5.362 -1.655 1.109
Tb 3.439 -4.738 5.281
Tb 4.189 -4.738 8.939
Tb 6.205 -4.122 3.011
Dy 1.760 0.792 5.203
Dy 2.271 -0.792 0.463
Dy 5.868 0.792 9.018
Dy 6.380 -0.792 4.278
Er 4.326 1.353 2.370
Er 3.814 -1.353 7.110
```